Entry 1:
A plane-wave DFT calculation with PBE was carried out for a geometry-optimized LiPrMg2Tl4 structure.

calculated formation energy: -0.217 eV/atom
electronic total energy: -2.64 eV per atom
ρ: 8.3 g/cm³

a b c (Å): 5.1462 5.1462 9.3248
angles (deg): 73.98 73.98 60.00
With the nearest neighbours (Å) after each atom.
Fractional coordinates of all 8 atoms:
1 Li 0.5000 0.5000 0.5000  8 Tl 3.01-3.12
2 Tl 0.8694 0.8694 0.3918  3 Li 3.12, 4 Mg 3.17-3.23, 1 Pr 3.46
3 Tl 0.6135 0.6135 0.1595  1 Li 3.01, 3 Mg 3.08, 3 Pr 3.29
4 Tl 0.1306 0.1306 0.6082  3 Li 3.12, 4 Mg 3.17-3.23, 1 Pr 3.46
5 Tl 0.3865 0.3865 0.8405  1 Li 3.01, 3 Mg 3.08, 3 Pr 3.29
6 Mg 0.2500 0.2500 0.2499  7 Tl 3.08-3.23
7 Mg 0.7500 0.7500 0.7501  7 Tl 3.08-3.23
8 Pr 0.0000 0.0000 0.0000  8 Tl 3.29-3.46

Entry 2:
A plane-wave DFT calculation with PBE was carried out for a geometry-optimized LiPr2MgTl4 structure.

calculated formation energy: -0.297 eV/atom
electronic total energy: -3.11 eV per atom
ρ: 8.7 g/cm³

a b c (Å): 5.3625 5.3625 9.2217
angles (deg): 73.10 73.10 60.00
With the nearest neighbours (Å) after each atom.
Fractional coordinates of all 8 atoms:
1 Tl 0.3781 0.3781 0.8658  1 Li 3.18, 4 Pr 3.24-3.29, 3 Mg 3.31
2 Tl 0.6219 0.6219 0.1342  1 Li 3.18, 4 Pr 3.24-3.29, 3 Mg 3.31
3 Tl 0.8731 0.8731 0.3806  4 Pr 3.26-3.32, 3 Li 3.27, 1 Mg 3.31
4 Tl 0.1269 0.1269 0.6194  4 Pr 3.26-3.32, 3 Li 3.27, 1 Mg 3.31
5 Pr 0.2520 0.2520 0.2440  8 Tl 3.24-3.32
6 Pr 0.7480 0.7480 0.7560  8 Tl 3.24-3.32
7 Li 0.5000 0.5000 0.5000  8 Tl 3.18-3.27
8 Mg 0.0000 0.0000 0.0000  8 Tl 3.31

Entry 3:
A plane-wave DFT calculation with PBE was carried out for a geometry-optimized LiPrMgTl2 structure.

calculated formation energy: -0.186 eV/atom
electronic total energy: -2.79 eV per atom
ρ: 7.6 g/cm³

a b c (Å): 6.7032 5.6082 6.7906
angles (deg): 90.00 90.00 90.00
With the nearest neighbours (Å) after each atom.
Fractional coordinates of all 10 atoms:
1 Tl 0.7278 0.2500 0.2573  2 Li 2.89, 1 Mg 2.98
2 Tl 0.2722 0.7500 0.2573  2 Li 2.89, 1 Mg 2.98
3 Tl 0.7278 0.2500 0.7427  2 Li 2.89, 1 Mg 2.98
4 Tl 0.2722 0.7500 0.7427  2 Li 2.89, 1 Mg 2.98
5 Li 0.0000 0.0000 0.0000  2 Li 2.80, 2 Mg 2.83, 4 Tl 2.89
6 Li 0.0000 0.5000 0.0000  2 Li 2.80, 2 Mg 2.83, 4 Tl 2.89
7 Mg 0.6327 0.7500 0.0000  2 Li 2.83, 2 Tl 2.98
8 Mg 0.3673 0.2500 0.0000  2 Li 2.83, 2 Tl 2.98
9 Pr 0.2254 0.2500 0.5000  4 Tl 3.27, 2 Mg 3.53
10 Pr 0.7746 0.7500 0.5000  4 Tl 3.27, 2 Mg 3.53

Entry 4:
A plane-wave DFT calculation with PBE was carried out for a geometry-optimized LiPrMgTl structure.

calculated formation energy: -0.239 eV/atom
electronic total energy: -2.90 eV per atom
ρ: 6.3 g/cm³

a b c (Å): 5.2067 5.2067 5.2067
angles (deg): 60.00 60.00 60.00
With the nearest neighbours (Å) after each atom.
Fractional coordinates of all 4 atoms:
1 Pr 0.2500 0.2500 0.2500  4 Tl 3.19, 4 Li 3.19
2 Tl 0.5000 0.5000 0.5000  4 Pr 3.19, 4 Mg 3.19
3 Li 0.0000 0.0000 0.0000  4 Mg 3.19, 4 Pr 3.19
4 Mg 0.7500 0.7500 0.7500  4 Tl 3.19, 4 Li 3.19

Entry 5:
A plane-wave DFT calculation with PBE was carried out for a geometry-optimized Li2Pr2YMg5 structure.

calculated formation energy: -0.058 eV/atom
electronic total energy: -2.84 eV per atom
ρ: 3.2 g/cm³

a b c (Å): 4.4635 10.7733 10.7733
angles (deg): 90.00 90.00 90.00
With the nearest neighbours (Å) after each atom.
Fractional coordinates of all 20 atoms:
1 Mg 0.5000 0.5601 0.7145  2 Li 2.96, 1 Mg 3.14, 2 Y 3.28
2 Mg 0.5000 0.4399 0.2855  2 Li 2.96, 1 Mg 3.14, 2 Y 3.28
3 Mg 0.5000 0.7145 0.4399  2 Li 2.96, 1 Mg 3.14, 2 Y 3.28
4 Mg 0.5000 0.9399 0.2145  2 Li 2.96, 1 Mg 3.14, 2 Y 3.28
5 Mg 0.5000 0.7855 0.9399  2 Li 2.96, 1 Mg 3.14, 2 Y 3.28
6 Mg 0.5000 0.5000 0.0000  4 Li 2.83, 4 Mg 3.14
7 Mg 0.5000 0.2855 0.5601  2 Li 2.96, 1 Mg 3.14, 2 Y 3.28
8 Mg 0.5000 0.0601 0.7855  2 Li 2.96, 1 Mg 3.14, 2 Y 3.28
9 Mg 0.5000 0.2145 0.0601  2 Li 2.96, 1 Mg 3.14, 2 Y 3.28
10 Mg 0.5000 0.0000 0.5000  4 Li 2.83, 4 Mg 3.14
11 Y 0.0000 0.0000 0.0000  8 Mg 3.28
12 Y 0.0000 0.5000 0.5000  8 Mg 3.28
13 Li 0.0000 0.6140 0.8860  6 Mg 2.83-2.96, 1 Pr 3.12
14 Li 0.0000 0.3860 0.1140  6 Mg 2.83-2.96, 1 Pr 3.12
15 Li 0.0000 0.1140 0.6140  6 Mg 2.83-2.96, 1 Pr 3.12
16 Li 0.0000 0.8860 0.3860  6 Mg 2.83-2.96, 1 Pr 3.12
17 Pr 0.0000 0.1811 0.3189  3 Li 3.12-3.26
18 Pr 0.0000 0.6811 0.1811  3 Li 3.12-3.26
19 Pr 0.0000 0.8189 0.6811  3 Li 3.12-3.26
20 Pr 0.0000 0.3189 0.8189  3 Li 3.12-3.26

Entry 6:
A plane-wave DFT calculation with PBE was carried out for a geometry-optimized LiPrYMg structure.

calculated formation energy: 0.012 eV/atom
electronic total energy: -3.68 eV per atom
ρ: 3.8 g/cm³

a b c (Å): 5.4224 5.4224 5.4224
angles (deg): 60.00 60.00 60.00
With the nearest neighbours (Å) after each atom.
Fractional coordinates of all 4 atoms:
1 Li 0.5000 0.5000 0.5000  4 Pr 3.32, 4 Y 3.32
2 Pr 0.7500 0.7500 0.7500  4 Li 3.32, 4 Mg 3.32
3 Mg 0.0000 0.0000 0.0000  4 Y 3.32, 4 Pr 3.32
4 Y 0.2500 0.2500 0.2500  4 Li 3.32, 4 Mg 3.32